Arrangement a

VASP calculation (PBE) on a relaxed structure of CaSIN2.

Cell lengths 4.1029, 4.1029, 5.3401 Å; angles 90.00, 90.00, 90.00 degrees
Last column: nearest neighbours and their distance in Å.
Fractional positions:
Ca 0.0000 0.0000 0.0000  4 I 2.90
S 0.5000 0.5000 0.5000  4 N 2.05
I 0.5000 0.5000 0.0000  2 S 2.67, 4 Ca 2.90
N 0.0000 0.5000 0.5000  2 S 2.05
N 0.5000 0.0000 0.5000  2 S 2.05

Results
Space group   No. 123

***

Arrangement b

VASP calculation (PBE) on a relaxed structure of CaSIN2.

Cell lengths 4.0832, 4.0832, 5.3549 Å; angles 90.00, 90.00, 90.00 degrees
Last column: nearest neighbours and their distance in Å.
Fractional positions:
Ca 0.0000 0.0000 0.0000  4 S 2.89
S 0.5000 0.5000 0.0000  2 I 2.68, 4 Ca 2.89
I 0.5000 0.5000 0.5000  4 N 2.04
N 0.0000 0.5000 0.5000  2 I 2.04
N 0.5000 0.0000 0.5000  2 I 2.04

Results
Space group   No. 123

***

Arrangement c

VASP calculation (PBE) on a relaxed structure of CaSIN2.

Cell lengths 4.5364, 4.5364, 6.5760 Å; angles 90.00, 90.00, 90.00 degrees
Last column: nearest neighbours and their distance in Å.
Fractional positions:
Ca 0.0000 0.0000 0.0000  4 N 2.27
S 0.5000 0.5000 0.5000  4 I 3.21
I 0.0000 0.0000 0.5000  4 S 3.21, 2 Ca 3.29
N 0.0000 0.5000 0.0000  2 Ca 2.27
N 0.5000 0.0000 0.0000  2 Ca 2.27

Results
Space group   No. 123

***

Short version: arrangement b is the most stable of them.

***

Arrangement a

VASP calculation (PBE) on a relaxed structure of CaS2IN.

Cell lengths 5.3783, 5.3783, 4.3457 Å; angles 90.00, 90.00, 90.00 degrees
Last column: nearest neighbours and their distance in Å.
Fractional positions:
Ca 0.0000 0.0000 0.0000  2 N 2.17
S 0.0000 0.5000 0.0000  2 Ca 2.69
S 0.5000 0.0000 0.0000  2 Ca 2.69
I 0.5000 0.5000 0.5000  8 S 3.46, 4 N 3.80
N 0.0000 0.0000 0.5000  2 Ca 2.17

Results
Space group   No. 123

***

Arrangement b

VASP calculation (PBE) on a relaxed structure of CaS2IN.

Cell lengths 5.2403, 5.2403, 3.9996 Å; angles 90.00, 90.00, 90.00 degrees
Last column: nearest neighbours and their distance in Å.
Fractional positions:
Ca 0.0000 0.0000 0.0000  8 S 3.30
S 0.0000 0.5000 0.5000  2 I 2.62
S 0.5000 0.0000 0.5000  2 I 2.62
I 0.5000 0.5000 0.5000  2 N 2.00
N 0.5000 0.5000 0.0000  2 I 2.00

Results
Space group   No. 123

***

Short version: arrangement b is the most stable of them.

***

Arrangement a

VASP calculation (PBE) on a relaxed structure of CaSI2N.

Cell lengths 6.1150, 6.1150, 3.5751 Å; angles 90.00, 90.00, 90.00 degrees
Last column: nearest neighbours and their distance in Å.
Fractional positions:
Ca 0.0000 0.0000 0.0000  8 I 3.54, 2 Ca 3.58
S 0.5000 0.5000 0.5000  2 N 1.79
I 0.0000 0.5000 0.5000  2 S 3.06
I 0.5000 0.0000 0.5000  2 S 3.06
N 0.5000 0.5000 0.0000  2 S 1.79

Results
Space group   No. 123

***

Arrangement b

VASP calculation (PBE) on a relaxed structure of CaSI2N.

Cell lengths 6.1145, 6.1145, 4.6604 Å; angles 90.00, 90.00, 90.00 degrees
Last column: nearest neighbours and their distance in Å.
Fractional positions:
Ca 0.0000 0.0000 0.0000  2 N 2.33
S 0.5000 0.5000 0.5000  8 I 3.84
I 0.0000 0.5000 0.0000  2 Ca 3.06
I 0.5000 0.0000 0.0000  2 Ca 3.06
N 0.0000 0.0000 0.5000  2 Ca 2.33

Results
Space group   No. 123

***

Short version: arrangement a is the most stable of them.

***

Arrangement a

VASP calculation (PBE) on a relaxed structure of CaSbIN2.

Cell lengths 4.5268, 4.5268, 5.9406 Å; angles 90.00, 90.00, 90.00 degrees
Last column: nearest neighbours and their distance in Å.
Fractional positions:
Ca 0.0000 0.0000 0.0000  4 N 2.26
Sb 0.5000 0.5000 0.5000  4 I 3.20
I 0.0000 0.0000 0.5000  2 Ca 2.97, 4 Sb 3.20
N 0.0000 0.5000 0.0000  2 Ca 2.26
N 0.5000 0.0000 0.0000  2 Ca 2.26

Results
Space group   No. 123

***

Arrangement b

VASP calculation (PBE) on a relaxed structure of CaSbIN2.

Cell lengths 4.2431, 4.2431, 6.1360 Å; angles 90.00, 90.00, 90.00 degrees
Last column: nearest neighbours and their distance in Å.
Fractional positions:
Ca 0.0000 0.0000 0.0000  4 I 3.00
Sb 0.5000 0.5000 0.5000  4 N 2.12
I 0.5000 0.5000 0.0000  4 Ca 3.00, 2 Sb 3.07
N 0.0000 0.5000 0.5000  2 Sb 2.12
N 0.5000 0.0000 0.5000  2 Sb 2.12

Results
Space group   No. 123

***

Short version: arrangement b is the most stable of them.